First-principles (PBE-GGA) data for a geometry-optimized ZnP2SO structure, as listed in Alexandria via LeMat-Bulk.

Cell: 4.727 4.727 3.666 Å, 90.00 90.00 90.00°
Space group P4/mmm (No. 123)
Unique sites:
Zn: 0.000 0.000 0.000 x1
P: 0.000 0.500 0.000 x2
S: 0.500 0.500 0.500 x1
O: 0.000 0.000 0.500 x1

Results
The total DFT energy (no corrections) comes out at -3.525 eV/atom. The density of states at the Fermi level is 0.965 states/eV per atom. The energy relative to the elements, uncorrected comes out at 3.6 eV per formula unit. The calculation puts the density at 3.6 g/cm3.